The following is a DFT calculation (PBE) of CsInSn2Se6 after structural relaxation.

abc: 9.939 9.939 7.953
angles: 109.77 109.77 82.82
Element x y z (fractional)
Cs 0.209 0.791 0.750
Cs 0.791 0.209 0.250
In 0.337 0.663 0.250
In 0.663 0.337 0.750
Sn 0.130 0.302 0.853
Sn 0.302 0.130 0.353
Sn 0.698 0.870 0.647
Sn 0.870 0.698 0.147
Se 0.093 0.145 0.036
Se 0.108 0.572 0.275
Se 0.145 0.093 0.536
Se 0.341 0.461 0.930
Se 0.428 0.892 0.225
Se 0.461 0.341 0.430
Se 0.539 0.659 0.570
Se 0.572 0.108 0.775
Se 0.659 0.539 0.070
Se 0.855 0.907 0.464
Se 0.892 0.428 0.725
Se 0.907 0.855 0.964

Summary:
The calculation puts the total magnetization at 0.00 μB per atom. Its formation energy without anion corrections is -0.5384 eV per atom.

The following is a DFT calculation (PBE) of TbNd2Se4 after structural relaxation.

abc: 7.267 7.267 14.109
angles: 90.00 90.00 147.73
Element x y z (fractional)
Tb 0.128 0.872 0.750
Tb 0.872 0.128 0.250
Nd 0.370 0.630 0.571
Nd 0.370 0.630 0.929
Nd 0.630 0.370 0.071
Nd 0.630 0.370 0.429
Se 0.000 0.000 0.000
Se 0.000 0.000 0.500
Se 0.280 0.720 0.125
Se 0.280 0.720 0.375
Se 0.479 0.521 0.750
Se 0.521 0.479 0.250
Se 0.720 0.280 0.625
Se 0.720 0.280 0.875

Summary:
The calculation puts the total magnetization at 0.00 μB per atom. Its formation energy without anion corrections is -1.8296 eV per atom. The value obtained for the energy above the lowest structure with this stoichiometry is 0.038 eV per atom. As for the density of states at the Fermi level: 2.203 states/eV/f.u.

The following is a DFT calculation (PBE) of AgPd2W after structural relaxation.

abc: 5.782 5.782 5.782
angles: 103.29 103.29 122.70
Element x y z (fractional)
Ag 0.000 0.000 0.000
Ag 0.750 0.250 0.500
Pd 0.151 0.125 0.526
Pd 0.375 0.849 0.974
Pd 0.599 0.625 0.474
Pd 0.875 0.401 0.026
W 0.250 0.750 0.500
W 0.500 0.500 0.000

Summary:
The calculation puts the total magnetization at 0.00 μB per atom. The value obtained for the energy above the lowest structure with this stoichiometry is 0.742 eV per atom. As for the density of states at the Fermi level: 5.652 states/eV/f.u. Its energy of formation is 707 meV per atom.

The following is a DFT calculation (PBE) of LaMg2Ir after structural relaxation.

abc: 3.256 3.256 8.258
angles: 90.00 90.00 90.00
Element x y z (fractional)
La 0.000 0.000 0.000
Mg 0.500 0.500 0.326
Mg 0.500 0.500 0.674
Ir 0.000 0.000 0.500

Summary:
The calculation puts the total magnetization at 0.00 μB per atom. As for the density of states at the Fermi level: 1.793 states/eV/f.u. Its energy of formation is -208 meV per atom.

The following is a DFT calculation (PBE) of LiYErPt after structural relaxation.

abc: 4.963 4.963 4.963
angles: 60.00 60.00 60.00
Element x y z (fractional)
Li 0.000 0.000 0.000
Y 0.250 0.250 0.250
Er 0.750 0.750 0.750
Pt 0.500 0.500 0.500

Summary:
The calculation puts the total magnetization at 0.00 μB per atom. As for the density of states at the Fermi level: 3.233 states/eV/f.u. Its energy of formation is -684 meV per atom.

The following is a DFT calculation (PBE) of PuTlBi2O8 after structural relaxation.

abc: 5.151 5.155 7.325
angles: 89.36 89.48 87.00
Element x y z (fractional)
Pu 0.000 0.000 0.000
Tl 0.000 0.000 0.500
Bi 0.486 0.486 0.753
Bi 0.514 0.514 0.247
O 0.178 0.175 0.190
O 0.188 0.190 0.785
O 0.290 0.710 0.501
O 0.293 0.707 0.999
O 0.707 0.293 0.001
O 0.710 0.290 0.499
O 0.812 0.810 0.215
O 0.822 0.825 0.810

Summary:
The calculation puts the total magnetization at 0.08 μB per atom. Its formation energy without anion corrections is -1.4842 eV per atom. As for the density of states at the Fermi level: 1.037 states/eV/f.u.

The following is a DFT calculation (PBE) of SrMnPt2 after structural relaxation.

abc: 4.652 4.652 3.640
angles: 90.00 90.00 95.75
Element x y z (fractional)
Sr 0.000 0.000 0.000
Mn 0.500 0.500 0.000
Pt 0.000 0.500 0.500
Pt 0.500 0.000 0.500

Summary:
The calculation puts the total magnetization at 1.15 μB per atom. As for the density of states at the Fermi level: 0.964 states/eV/f.u. Its energy of formation is -255 meV per atom.

The following is a DFT calculation (PBE) of CaSmAl2 after structural relaxation.

abc: 3.660 3.660 7.516
angles: 90.00 90.00 90.00
Element x y z (fractional)
Ca 0.000 0.000 0.000
Sm 0.000 0.000 0.500
Al 0.500 0.500 0.250
Al 0.500 0.500 0.750

Summary:
The calculation puts the total magnetization at 0.00 μB per atom. The value obtained for the energy above the lowest structure with this stoichiometry is 0.000 eV per atom. As for the density of states at the Fermi level: 1.418 states/eV/f.u. Its energy of formation is -282 meV per atom.

The following is a DFT calculation (PBE) of PmSe6Cl12 after structural relaxation.

abc: 13.048 13.048 13.048
angles: 36.21 36.21 36.21
Element x y z (fractional)
Pm 0.000 0.000 0.000
Se 0.113 0.185 0.455
Se 0.185 0.455 0.113
Se 0.455 0.113 0.185
Se 0.545 0.887 0.815
Se 0.815 0.545 0.887
Se 0.887 0.815 0.545
Cl 0.104 0.283 0.743
Cl 0.121 0.775 0.502
Cl 0.225 0.498 0.879
Cl 0.257 0.896 0.717
Cl 0.283 0.743 0.104
Cl 0.498 0.879 0.225
Cl 0.502 0.121 0.775
Cl 0.717 0.257 0.896
Cl 0.743 0.104 0.283
Cl 0.775 0.502 0.121
Cl 0.879 0.225 0.498
Cl 0.896 0.717 0.257

Summary:
The calculation puts the total magnetization at 0.00 μB per atom. Its formation energy without anion corrections is -0.5409 eV per atom. As for the density of states at the Fermi level: 10.862 states/eV/f.u.

The following is a DFT calculation (PBE) of Mg8ScIn6 after structural relaxation.

abc: 7.892 7.892 7.892
angles: 64.91 64.91 64.91
Element x y z (fractional)
Mg 0.053 0.384 0.722
Mg 0.165 0.165 0.165
Mg 0.278 0.947 0.616
Mg 0.384 0.722 0.053
Mg 0.616 0.278 0.947
Mg 0.722 0.053 0.384
Mg 0.835 0.835 0.835
Mg 0.947 0.616 0.278
Sc 0.500 0.500 0.500
In 0.107 0.772 0.442
In 0.228 0.558 0.893
In 0.442 0.107 0.772
In 0.558 0.893 0.228
In 0.772 0.442 0.107
In 0.893 0.228 0.558

Summary:
The calculation puts the total magnetization at 0.00 μB per atom. As for the density of states at the Fermi level: 8.086 states/eV/f.u. Its energy of formation is -12 meV per atom.

The following is a DFT calculation (PBE) of YMg5Pt2 after structural relaxation.

abc: 6.775 6.775 6.775
angles: 144.55 104.40 86.38
Element x y z (fractional)
Y 0.000 0.000 0.000
Mg 0.154 0.337 0.817
Mg 0.479 0.663 0.817
Mg 0.500 0.000 0.500
Mg 0.521 0.337 0.183
Mg 0.846 0.663 0.183
Pt 0.225 0.725 0.500
Pt 0.775 0.275 0.500

Summary:
The calculation puts the total magnetization at 0.00 μB per atom. As for the density of states at the Fermi level: 3.560 states/eV/f.u. Its energy of formation is -622 meV per atom.

The following is a DFT calculation (PBE) of Sm4HoEr15 after structural relaxation.

abc: 5.644 5.644 19.854
angles: 90.00 90.00 90.00
Element x y z (fractional)
Sm 0.000 0.000 0.096
Sm 0.000 0.000 0.303
Sm 0.000 0.000 0.697
Sm 0.000 0.000 0.904
Ho 0.000 0.000 0.500
Er 0.000 0.500 0.000
Er 0.000 0.500 0.199
Er 0.000 0.500 0.405
Er 0.000 0.500 0.595
Er 0.000 0.500 0.801
Er 0.500 0.000 0.000
Er 0.500 0.000 0.199
Er 0.500 0.000 0.405
Er 0.500 0.000 0.595
Er 0.500 0.000 0.801
Er 0.500 0.500 0.098
Er 0.500 0.500 0.303
Er 0.500 0.500 0.500
Er 0.500 0.500 0.697
Er 0.500 0.500 0.902

Summary:
The calculation puts the total magnetization at 0.00 μB per atom. As for the density of states at the Fermi level: 43.910 states/eV/f.u. Its energy of formation is 137 meV per atom.